(1)
Tl2In4Pb9 | PBE | optimized geometry

Cell lengths 9.153, 10.939, 11.022 Å; angles 66.78, 83.72, 64.44 degrees
Atoms (fractional coordinates):
Tl (0.168, 0.913, 0.417)
Tl (0.102, 0.850, 0.151)
Tl (0.832, 0.087, 0.583)
Tl (0.898, 0.150, 0.849)
In (0.164, 0.419, 0.917)
In (0.433, 0.182, 0.485)
In (0.836, 0.581, 0.083)
In (0.234, 0.481, 0.180)
In (0.567, 0.818, 0.515)
In (0.502, 0.750, 0.253)
In (0.498, 0.250, 0.747)
In (0.766, 0.519, 0.820)
Pb (0.100, 0.352, 0.653)
Pb (0.367, 0.615, 0.719)
Pb (0.635, 0.882, 0.782)
Pb (0.900, 0.648, 0.347)
Pb (0.633, 0.385, 0.281)
Pb (0.365, 0.118, 0.218)
Pb (0.757, 0.020, 0.318)
Pb (0.036, 0.288, 0.381)
Pb (0.305, 0.543, 0.448)
Pb (0.696, 0.945, 0.052)
Pb (0.438, 0.682, 0.987)
Pb (0.963, 0.226, 0.112)
Pb (0.243, 0.980, 0.682)
Pb (0.964, 0.712, 0.619)
Pb (0.695, 0.457, 0.552)
Pb (0.304, 0.055, 0.948)
Pb (0.562, 0.318, 0.013)
Pb (0.037, 0.774, 0.888)

Summary:
**Formation energy from the elements**: 13 kJ/mol of formula units
**Energy**: -97.86 eV per cell
**Total moment**: 0.000 μB per atom
**SG**: P-1 (2)

(2)
Tl2InPb | PBE | optimized geometry

Cell lengths 6.561, 6.561, 6.561 Å; angles 146.09, 129.24, 62.45 degrees
Atoms (fractional coordinates):
Pb (0.258, 0.758, 0.500)
Tl (0.000, 0.000, 0.000)
Tl (0.742, 0.242, 0.500)
In (0.500, 0.500, 0.000)

Summary:
**Formation energy from the elements**: 12 kJ/mol of formula units
**Energy above the lowest structure with this stoichiometry**: 0.033 eV/atom
**Energy**: -11.06 eV per cell
**Total moment**: 0.000 μB per atom
**SG**: Imm2 (44)